# 1
A relaxed structure of Pm4NdY2Ho2. Source: Alexandria via LeMat-Bulk, functional PBE-GGA.

a = 15.3228 Å, b = 5.0938 Å, c = 8.0685 Å
α = 90.00°, β = 108.33°, γ = 90.00°
With the nearest neighbours (Å) after each atom.
Space group C2/m (No. 12)
One atom of each set of equivalent atoms:
1 Pm 0.0551 0.0000 0.3315  2 Nd 3.60, 4 Y 3.61-3.62, 4 Pm 3.62-3.63, 2 Ho 3.62
2 Pm 0.2226 0.5000 0.3317  3 Ho 3.58-3.60, 3 Y 3.60-3.62, 1 Nd 3.61, 5 Pm 3.62-3.63
3 Nd 0.0000 0.5000 0.0000  6 Pm 3.60-3.61, 2 Y 3.61, 4 Ho 3.62
4 Y 0.1117 0.5000 0.6676  3 Ho 3.59-3.60, 7 Pm 3.60-3.62, 1 Nd 3.61, 1 Y 3.63
5 Ho 0.1680 0.0000 0.9997  5 Pm 3.58-3.62, 2 Ho 3.58, 3 Y 3.59-3.60, 2 Nd 3.62

The value obtained for the total magnetization is 0.000 μB per cell. The value obtained for the calculated formation energy is 17 meV per atom.

# 2
A relaxed structure of NaNbSn. Source: Alexandria via LeMat-Bulk, functional PBE-GGA.

a = 4.6774 Å, b = 4.6774 Å, c = 24.5075 Å
α = 90.00°, β = 90.00°, γ = 120.00°
With the nearest neighbours (Å) after each atom.
Space group R-3m (No. 166, hexagonal axes)
One atom of each set of equivalent atoms:
1 Na 0.0000 0.0000 0.2074  3 Sn 3.13, 1 Nb 3.34, 3 Na 3.36
2 Nb 0.0000 0.0000 0.3438  3 Nb 2.75, 3 Sn 2.97
3 Sn 0.0000 0.0000 0.0613  6 Nb 2.97-3.22, 1 Sn 3.00, 3 Na 3.13

The energy above the lowest structure with this stoichiometry comes out at 0.000 eV per atom. The value obtained for the total magnetization is 0.000 μB per cell. The value obtained for the calculated formation energy is 121 meV per atom.

# 3
A relaxed structure of LiPmSn2Pd4. Source: Alexandria via LeMat-Bulk, functional PBE-GGA.

a = 4.5678 Å, b = 4.5678 Å, c = 24.8815 Å
α = 90.00°, β = 90.00°, γ = 120.00°
With the nearest neighbours (Å) after each atom.
Space group R-3m (No. 166, hexagonal axes)
One atom of each set of equivalent atoms:
1 Li 0.0000 0.0000 0.0000  8 Pd 2.54-2.80
2 Pm 0.0000 0.0000 0.5000  8 Pd 3.09-3.22
3 Sn 0.0000 0.0000 0.2592  7 Pd 2.73-2.79
4 Pd 0.0000 0.0000 0.1020  1 Li 2.54, 3 Sn 2.73
5 Pd 0.0000 0.0000 0.3706  4 Sn 2.77-2.79, 3 Li 2.80, 3 Pd 3.09

The value obtained for the total magnetization is 0.000 μB per cell. The value obtained for the calculated formation energy is -716 meV per atom.

# 4
A relaxed structure of CePuMg. Source: Alexandria via LeMat-Bulk, functional PBE-GGA.

a = 3.2247 Å, b = 3.2247 Å, c = 8.5948 Å
α = 90.00°, β = 90.00°, γ = 120.00°
With the nearest neighbours (Å) after each atom.
Space group P3m1 (No. 156)
One atom of each set of equivalent atoms:
1 Ce 0.0000 0.0000 0.0000  6 Ce 3.22, 3 Pu 3.39, 3 Mg 3.47
2 Pu 0.3333 0.6667 0.6701  6 Pu 3.22, 3 Mg 3.39, 3 Ce 3.39
3 Mg 0.6667 0.3333 0.3410  6 Mg 3.22, 3 Pu 3.39, 3 Ce 3.47

The energy above the lowest structure with this stoichiometry comes out at 0.077 eV per atom. The value obtained for the total magnetization is 5.621 μB per cell. The value obtained for the calculated formation energy is 161 meV per atom.

# 5
A relaxed structure of SmInSe. Source: Alexandria via LeMat-Bulk, functional PBE-GGA.

a = 4.8154 Å, b = 4.8154 Å, c = 27.9970 Å
α = 90.00°, β = 90.00°, γ = 120.00°
With the nearest neighbours (Å) after each atom.
Space group R-3m (No. 166, hexagonal axes)
One atom of each set of equivalent atoms:
1 Sm 0.0000 0.0000 0.2310  4 Se 2.84-3.00
2 In 0.0000 0.0000 0.3523  3 In 2.98
3 Se 0.0000 0.0000 0.1236  4 Sm 2.84-3.00

The value obtained for the total magnetization is 0.000 μB per cell. As for the formation energy (no corrections): -1.03 eV/atom.

# 6
A relaxed structure of HfAg2RhBr. Source: Alexandria via LeMat-Bulk, functional PBE-GGA.

a = 4.8176 Å, b = 4.8176 Å, c = 4.9613 Å
α = 90.00°, β = 90.00°, γ = 90.00°
With the nearest neighbours (Å) after each atom.
Space group P4/mmm (No. 123)
One atom of each set of equivalent atoms:
1 Hf 0.0000 0.0000 0.0000  2 Br 2.48
2 Ag 0.0000 0.5000 0.5000  2 Br 2.41
3 Rh 0.5000 0.5000 0.0000  4 Hf 3.41, 8 Ag 3.46
4 Br 0.0000 0.0000 0.5000  4 Ag 2.41, 2 Hf 2.48

The value obtained for the total magnetization is 0.000 μB per cell. As for the formation energy (no corrections): 1.11 eV/atom.

# 7
A relaxed structure of TbBe2SiPd2. Source: Alexandria via LeMat-Bulk, functional PBE-GGA.

a = 4.1282 Å, b = 4.1282 Å, c = 5.6250 Å
α = 90.00°, β = 90.00°, γ = 90.00°
With the nearest neighbours (Å) after each atom.
Space group P4/mmm (No. 123)
One atom of each set of equivalent atoms:
1 Tb 0.0000 0.0000 0.0000  2 Si 2.81
2 Be 0.0000 0.5000 0.5000  2 Si 2.06
3 Si 0.0000 0.0000 0.5000  4 Be 2.06
4 Pd 0.5000 0.5000 0.2494  4 Be 2.50

The value obtained for the total magnetization is 0.000 μB per cell. As for the formation energy (no corrections): -0.24 eV/atom.

# 8
A relaxed structure of Ba2TlGa2. Source: Alexandria via LeMat-Bulk, functional PBE-GGA.

a = 8.4213 Å, b = 8.4213 Å, c = 4.8459 Å
α = 90.00°, β = 90.00°, γ = 90.00°
With the nearest neighbours (Å) after each atom.
Space group P4/mbm (No. 127)
One atom of each set of equivalent atoms:
1 Ba 0.1919 0.3081 0.0000  6 Ga 3.42-3.56
2 Tl 0.0000 0.0000 0.5000  4 Ga 3.44
3 Ga 0.1057 0.6057 0.5000  1 Ga 2.52

The energy above the lowest structure with this stoichiometry comes out at 0.000 eV per atom. The value obtained for the total magnetization is 0.000 μB per cell. The value obtained for the calculated formation energy is -302 meV per atom.

# 9
A relaxed structure of YTlRe4. Source: Alexandria via LeMat-Bulk, functional PBE-GGA.

a = 7.6060 Å, b = 7.6060 Å, c = 7.6060 Å
α = 90.00°, β = 90.00°, γ = 90.00°
With the nearest neighbours (Å) after each atom.
Space group F-43m (No. 216)
One atom of each set of equivalent atoms:
1 Y 0.0000 0.0000 0.0000  12 Re 3.15, 4 Tl 3.29
2 Tl 0.2500 0.2500 0.2500  12 Re 3.15, 4 Y 3.29
3 Re 0.1244 0.1244 0.6244  6 Re 2.68-2.70

The value obtained for the total magnetization is 0.000 μB per cell. The value obtained for the calculated formation energy is 273 meV per atom.

# 10
A relaxed structure of DyAlPd. Source: Alexandria via LeMat-Bulk, functional PBE-GGA.

a = 3.2954 Å, b = 3.2954 Å, c = 10.9042 Å
α = 90.00°, β = 90.00°, γ = 90.00°
With the nearest neighbours (Å) after each atom.
Space group I4mm (No. 107)
One atom of each set of equivalent atoms:
1 Dy 0.0000 0.0000 0.0000  5 Pd 3.09-3.42, 5 Al 3.20-3.26, 4 Dy 3.30
2 Al 0.0000 0.0000 0.7009  4 Pd 2.63
3 Pd 0.0000 0.0000 0.3132  4 Al 2.63

The value obtained for the total magnetization is 0.001 μB per cell. The value obtained for the calculated formation energy is -684 meV per atom.

# 11
A relaxed structure of Li4U3ReN8. Source: Alexandria via LeMat-Bulk, functional PBE-GGA.

a = 6.6462 Å, b = 6.6462 Å, c = 15.3608 Å
α = 90.00°, β = 90.00°, γ = 120.00°
With the nearest neighbours (Å) after each atom.
Space group R-3m (No. 166, hexagonal axes)
One atom of each set of equivalent atoms:
1 Li 0.0000 0.0000 0.0000  6 N 2.43
2 Li 0.0000 0.5000 0.0000  6 N 2.40-2.41
3 U 0.0000 0.5000 0.5000  6 N 2.22
4 Re 0.0000 0.0000 0.5000  6 N 2.19
5 N 0.0000 0.0000 0.2391  3 U 2.22, 3 Li 2.40
6 N 0.0034 0.5017 0.2378  1 Re 2.19, 2 U 2.22, 3 Li 2.41-2.43

The value obtained for the total magnetization is 2.199 μB per cell. As for the formation energy (no corrections): -0.85 eV/atom.

# 12
A relaxed structure of HfZnReBi2. Source: Alexandria via LeMat-Bulk, functional PBE-GGA.

a = 5.1197 Å, b = 5.1197 Å, c = 5.0286 Å
α = 90.00°, β = 90.00°, γ = 90.00°
With the nearest neighbours (Å) after each atom.
Space group P4/mmm (No. 123)
One atom of each set of equivalent atoms:
1 Hf 0.0000 0.0000 0.0000  2 Zn 2.51
2 Zn 0.0000 0.0000 0.5000  2 Hf 2.51, 4 Bi 2.56
3 Re 0.5000 0.5000 0.0000  8 Bi 3.59, 4 Hf 3.62
4 Bi 0.0000 0.5000 0.5000  2 Zn 2.56

The value obtained for the total magnetization is 2.572 μB per cell. The value obtained for the calculated formation energy is 1522 meV per atom.

# 13
A relaxed structure of PaIrAu. Source: Alexandria via LeMat-Bulk, functional PBE-GGA.

a = 4.6925 Å, b = 4.6925 Å, c = 3.1214 Å
α = 90.00°, β = 90.00°, γ = 120.00°
With the nearest neighbours (Å) after each atom.
Space group P-6m2 (No. 187)
One atom of each set of equivalent atoms:
1 Pa 0.0000 0.0000 0.0000  2 Pa 3.12, 6 Ir 3.13, 6 Au 3.13
2 Ir 0.6667 0.3333 0.5000  3 Au 2.71
3 Au 0.3333 0.6667 0.5000  3 Ir 2.71

The energy above the lowest structure with this stoichiometry comes out at 0.092 eV per atom. The value obtained for the total magnetization is 0.000 μB per cell. The value obtained for the calculated formation energy is -408 meV per atom.

# 14
A relaxed structure of NdNpPb2O6. Source: Alexandria via LeMat-Bulk, functional PBE-GGA.

a = 6.0406 Å, b = 6.2444 Å, c = 10.6034 Å
α = 90.00°, β = 124.49°, γ = 90.00°
With the nearest neighbours (Å) after each atom.
Space group P2_1/c (No. 14)
One atom of each set of equivalent atoms:
1 Nd 0.0000 0.0000 0.0000  6 O 2.39-2.40
2 Np 0.5000 0.0000 0.5000  6 O 2.15-2.19
3 Pb 0.2430 0.0338 0.7476  3 O 2.44-2.53
4 O 0.1573 0.1804 0.4516  1 Np 2.15, 1 Nd 2.39
5 O 0.2689 0.7103 0.4454  1 Np 2.15, 1 Nd 2.40
6 O 0.3684 0.0341 0.2619  1 Np 2.19, 1 Nd 2.39, 1 Pb 2.44

The value obtained for the total magnetization is 4.000 μB per cell. As for the formation energy (no corrections): -2.30 eV/atom.

# 15
A relaxed structure of Li2TeAu2. Source: Alexandria via LeMat-Bulk, functional PBE-GGA.

a = 7.7378 Å, b = 7.7378 Å, c = 3.1145 Å
α = 90.00°, β = 90.00°, γ = 90.00°
With the nearest neighbours (Å) after each atom.
Space group P4/mbm (No. 127)
One atom of each set of equivalent atoms:
1 Li 0.1642 0.3358 0.0000  6 Au 2.75-2.77
2 Te 0.0000 0.0000 0.5000  4 Au 3.04, 2 Te 3.11, 8 Li 3.28
3 Au 0.1292 0.6292 0.5000  6 Li 2.75-2.77, 1 Au 2.83, 2 Te 3.04

The energy above the lowest structure with this stoichiometry comes out at 0.000 eV per atom. The value obtained for the total magnetization is 0.000 μB per cell. As for the formation energy (no corrections): -0.44 eV/atom.

# 16
A relaxed structure of ReHRhI2. Source: Alexandria via LeMat-Bulk, functional PBE-GGA.

a = 5.2568 Å, b = 5.2568 Å, c = 3.4420 Å
α = 90.00°, β = 90.00°, γ = 90.00°
With the nearest neighbours (Å) after each atom.
Space group P4/mmm (No. 123)
One atom of each set of equivalent atoms:
1 Re 0.0000 0.0000 0.0000  2 H 1.72
2 H 0.0000 0.0000 0.5000  2 Re 1.72
3 Rh 0.5000 0.5000 0.5000  8 I 3.14, 2 Rh 3.44
4 I 0.0000 0.5000 0.0000  2 Re 2.63

The value obtained for the total magnetization is 0.000 μB per cell. As for the total energy: -4.227 eV/atom.

# 17
A relaxed structure of Th3Ga4Rh2. Source: Alexandria via LeMat-Bulk, functional PBE-GGA.

a = 11.0941 Å, b = 4.4220 Å, c = 8.5734 Å
α = 90.00°, β = 112.98°, γ = 90.00°
With the nearest neighbours (Å) after each atom.
Space group C2/m (No. 12)
One atom of each set of equivalent atoms:
1 Th 0.0000 0.0000 0.0000  8 Ga 2.99-3.33, 4 Rh 3.10
2 Th 0.1825 0.5000 0.6383  3 Rh 2.91-3.10, 6 Ga 3.14-3.26
3 Ga 0.0176 0.0000 0.3573  1 Ga 2.62, 2 Rh 2.63
4 Ga 0.2417 0.5000 0.0796  1 Rh 2.64, 2 Ga 2.64
5 Rh 0.1056 0.5000 0.2726  3 Ga 2.63-2.64, 1 Th 2.91

The value obtained for the total magnetization is 0.000 μB per cell. The value obtained for the calculated formation energy is -781 meV per atom.

# 18
A relaxed structure of DyThNi3. Source: Alexandria via LeMat-Bulk, functional PBE-GGA.

a = 3.7294 Å, b = 25.1984 Å, c = 4.0595 Å
α = 90.00°, β = 90.00°, γ = 90.00°
With the nearest neighbours (Å) after each atom.
Space group Cmcm (No. 63)
One atom of each set of equivalent atoms:
1 Dy 0.0000 0.0674 0.2500  10 Ni 2.94-3.01
2 Th 0.0000 0.1960 0.7500  6 Ni 2.76-2.79
3 Ni 0.0000 0.3209 0.7500  2 Ni 2.59, 4 Th 2.79
4 Ni 0.0000 0.3847 0.2500  3 Ni 2.33-2.59
5 Ni 0.0000 0.4771 0.2500  3 Ni 2.33-2.34

The value obtained for the total magnetization is 0.000 μB per cell. The value obtained for the calculated formation energy is -425 meV per atom.

# 19
A relaxed structure of Ac2Nd3Se8. Source: Alexandria via LeMat-Bulk, functional PBE-GGA.

a = 15.0405 Å, b = 8.7765 Å, c = 7.3208 Å
α = 90.00°, β = 109.93°, γ = 90.00°
With the nearest neighbours (Å) after each atom.
Space group C2/m (No. 12)
One atom of each set of equivalent atoms:
1 Ac 0.2333 0.0000 0.1555  6 Se 3.09-3.15
2 Nd 0.0000 0.2371 0.5000  6 Se 2.92-3.03
3 Nd 0.0000 0.5000 0.0000  6 Se 2.93-2.99
4 Se 0.1130 0.5000 0.4246  3 Nd 2.99-3.03, 1 Ac 3.15
5 Se 0.1202 0.2703 0.9113  2 Nd 2.93-2.95, 2 Ac 3.11-3.15
6 Se 0.1248 0.0000 0.4454  2 Nd 2.92, 1 Ac 3.09

The value obtained for the total magnetization is 0.003 μB per cell. As for the formation energy (no corrections): -1.77 eV/atom.

# 20
A relaxed structure of Ba3Ce3ErSe8. Source: Alexandria via LeMat-Bulk, functional PBE-GGA.

a = 8.6439 Å, b = 8.6439 Å, c = 22.7292 Å
α = 90.00°, β = 90.00°, γ = 120.00°
With the nearest neighbours (Å) after each atom.
Space group R-3m (No. 166, hexagonal axes)
One atom of each set of equivalent atoms:
1 Ba 0.0000 0.5000 0.0000  6 Se 3.26-3.28
2 Ce 0.0000 0.5000 0.5000  6 Se 3.00-3.02
3 Er 0.0000 0.0000 0.5000  6 Se 2.90
4 Se 0.0000 0.0000 0.2412  3 Ce 3.02, 3 Ba 3.26
5 Se 0.0105 0.5052 0.2375  1 Er 2.90, 2 Ce 3.00

The value obtained for the total magnetization is 11.350 μB per cell. As for the formation energy (no corrections): -1.88 eV/atom.

no.,DOS at the Fermi energy (states/eV/atom)
1,1.4410
2,0.5932
3,0.5219
4,3.5642
5,0.4551
6,1.1295
7,0.2578
8,0.6737
9,0.6474
10,0.7229
11,0.4803
12,0.9326
13,1.3814
14,0.7296
15,0.1837
16,1.0869
17,0.3686
18,0.8613
19,0.6055
20,1.6782